Material: Zr2CdBi2
Method: DFT, PBEsol
State: relaxed

abc: 7.9133 7.9133 3.8976
angles: 90.00 90.00 90.00
With the nearest neighbours (Å) after each atom.
Space group P4/mbm (No. 127)
Inequivalent atoms, fractional coordinates:
Zr 0.1406 0.3594 0.0000 (multiplicity 4)  6 Bi 2.99-3.06, 2 Cd 3.05, 1 Zr 3.15
Cd 0.0000 0.0000 0.0000 (multiplicity 2)  4 Zr 3.05
Bi 0.1571 0.6571 0.5000 (multiplicity 4)  6 Zr 2.99-3.06

Values from the calculation:
The formation energy comes out at -255 meV/atom. The value obtained for the total magnetization is 0.0001 μB per atom. For the energy, the calculation gives -5.8441 eV/atom. Its crystal system is tetragonal.